5
Lattice="4.894 0.000 0.000 0.000 4.894 0.000 0.000 0.000 4.894" Properties=species:S:1:pos:R:3 comment="AgP3Pb (PBE, optimized geometry)" m_tot_mub_per_cell=0.00 ef_ev_per_atom=0.938 total_energy_ev_per_atom=-3.620 relative_energy_ev_per_atom=0.000 rho_g_cm3=5.8 pbc="T T T"
Pb 2.447 2.447 2.447
P 0.000 2.447 0.000
P 0.000 0.000 2.447
P 2.447 0.000 0.000
Ag 0.000 0.000 0.000